The following is a DFT calculation (GGA-PBE) of a geometry-optimized K2MnAlI structure.

The space group is P4/mmm (No. 123) and the conventional cell measures 6.455, 6.455 and 6.176 Å, with angles of 90.00, 90.00 and 90.00 degrees. Symmetry generates all atoms from K at (0.000, 0.500, 0.000), Mn at (0.000, 0.000, 0.500), Al at (0.500, 0.500, 0.500) and I at (0.500, 0.500, 0.000).

The value obtained for the total DFT energy (no corrections) is -2.7714 eV per atom.


The following is a DFT calculation (GGA-PBE) of a geometry-optimized V7Cu2S12 structure.

The space group is P-1 (No. 2) and the conventional cell measures 6.671, 6.706 and 8.026 Å, with angles of 107.77, 90.00 and 106.65 degrees. Symmetry generates all atoms from V at (0.000, 0.000, 0.000), V at (0.051, 0.359, 0.846), V at (0.284, 0.975, 0.488), V at (0.385, 0.691, 0.181), Cu at (0.334, 0.334, 0.336), S at (0.008, 0.030, 0.312), S at (0.144, 0.597, 0.373), S at (0.189, 0.740, 0.963), S at (0.319, 0.299, 0.014), S at (0.343, 0.364, 0.650) and S at (0.477, 0.930, 0.705).

The value obtained for the total DFT energy (no corrections) is -6.6214 eV per atom.


The following is a DFT calculation (GGA-PBE) of a geometry-optimized CdSi2Br structure.

The space group is R3m (No. 160, hexagonal axes) and the conventional cell measures 3.8772, 3.8772 and 21.4247 Å, with angles of 90.00, 90.00 and 120.00 degrees. Symmetry generates all atoms from Cd at (0.0000, 0.0000, 0.0000), Si at (0.0000, 0.0000, 0.4564), Si at (0.0000, 0.0000, 0.7549) and Br at (0.0000, 0.0000, 0.2492).

As for the excess energy over the best structure of this formula in the dataset: 0 meV/atom. The value obtained for the total DFT energy (no corrections) is -3.3367 eV per atom.


The following is a DFT calculation (GGA-PBE) of a geometry-optimized La2YTm2 structure.

The space group is C2/c (No. 15) and the conventional cell measures 15.983, 6.312 and 6.838 Å, with angles of 90.00, 103.91 and 90.00 degrees. Symmetry generates all atoms from La at (0.102, 0.082, 0.443), Y at (0.000, 0.416, 0.750) and Tm at (0.201, 0.420, 0.150).

As for the excess energy over the best structure of this formula in the dataset: 0 meV/atom. For the energy of formation from the pure elements, the calculation gives 25.5 meV/atom. The value obtained for the total DFT energy (no corrections) is -5.0269 eV per atom.


The following is a DFT calculation (GGA-PBE) of a geometry-optimized MgCrSi2 structure.

The space group is P4mm (No. 99) and the conventional cell measures 3.283, 3.283 and 5.267 Å, with angles of 90.00, 90.00 and 90.00 degrees. Symmetry generates all atoms from Mg at (0.000, 0.000, 0.000), Cr at (0.500, 0.500, 0.712), Si at (0.000, 0.000, 0.519) and Si at (0.500, 0.500, 0.270).

The value obtained for the total DFT energy (no corrections) is -5.4160 eV per atom.